Entry 1:
Entry from Alexandria: CuAgSb2I after structural relaxation (PBE-GGA). Values from VASP.

Summary:
The value obtained for the uncorrected energy is -13.82 eV per cell. The calculation puts the size of the total moment at 0.0 μB/f.u. As for the symmetry: P4/mmm (123). The calculation puts the formation energy (no corrections) at 0.5843 eV per atom. Its energy relative to the lowest polymorph listed for this composition is 0.0 meV/atom. The density is 6.20 g cm⁻³. The value obtained for the density of states at the Fermi level is 0.922 states/eV per atom.

The structure in Quantum ESPRESSO input format:
```
&SYSTEM
  ibrav = 0, nat = 5, ntyp = 4
/
ATOMIC_SPECIES
Cu 63.55 Cu.upf
Ag 107.87 Ag.upf
Sb 121.76 Sb.upf
I 126.90 I.upf
CELL_PARAMETERS angstrom
5.031 0.000 0.000
0.000 5.031 0.000
0.000 0.000 5.737
ATOMIC_POSITIONS angstrom
Cu 0.000 0.000 0.000
Ag 2.516 2.516 2.869
Sb 0.000 2.516 0.000
Sb 2.516 0.000 0.000
I 0.000 0.000 2.869
```

=====

Entry 2:
Entry from Alexandria: SrCuAg2I after structural relaxation (PBE-GGA). Values from VASP.

Summary:
The value obtained for the uncorrected energy is -8.57 eV per cell. The calculation puts the size of the total moment at 0.0 μB/f.u. As for the symmetry: P4/mmm (123). The calculation puts the formation energy (no corrections) at 0.8926 eV per atom. The density is 4.16 g cm⁻³. The value obtained for the density of states at the Fermi level is 1.661 states/eV per atom.

The structure in Quantum ESPRESSO input format:
```
&SYSTEM
  ibrav = 0, nat = 5, ntyp = 4
/
ATOMIC_SPECIES
Sr 87.62 Sr.upf
Cu 63.55 Cu.upf
Ag 107.87 Ag.upf
I 126.90 I.upf
CELL_PARAMETERS angstrom
5.985 0.000 0.000
0.000 5.985 0.000
0.000 0.000 5.501
ATOMIC_POSITIONS angstrom
Sr 0.000 0.000 0.000
Cu 0.000 0.000 2.750
Ag 0.000 2.992 0.000
Ag 2.992 0.000 0.000
I 2.992 2.992 2.750
```

=====

Entry 3:
Entry from Alexandria: CuAgTe2I after structural relaxation (PBE-GGA). Values from VASP.

Summary:
The value obtained for the uncorrected energy is -10.76 eV per cell. The calculation puts the size of the total moment at 0.0 μB/f.u. As for the symmetry: P4/mmm (123). The calculation puts the formation energy (no corrections) at 0.8039 eV per atom. Its energy relative to the lowest polymorph listed for this composition is 334.2 meV/atom. The density is 5.45 g cm⁻³. The value obtained for the density of states at the Fermi level is 1.641 states/eV per atom.

The structure in Quantum ESPRESSO input format:
```
&SYSTEM
  ibrav = 0, nat = 5, ntyp = 4
/
ATOMIC_SPECIES
Cu 63.55 Cu.upf
Ag 107.87 Ag.upf
Te 127.60 Te.upf
I 126.90 I.upf
CELL_PARAMETERS angstrom
5.456 0.000 0.000
0.000 5.456 0.000
0.000 0.000 5.670
ATOMIC_POSITIONS angstrom
Cu 0.000 0.000 0.000
Ag 2.728 2.728 2.835
Te 0.000 2.728 2.835
Te 2.728 0.000 2.835
I 2.728 2.728 0.000
```

=====

Entry 4:
Entry from Alexandria: CuAgTeI2 after structural relaxation (PBE-GGA). Values from VASP.

Summary:
The value obtained for the uncorrected energy is -11.26 eV per cell. The calculation puts the size of the total moment at 0.0 μB/f.u. As for the symmetry: P4/mmm (123). The calculation puts the formation energy (no corrections) at 0.3865 eV per atom. Its energy relative to the lowest polymorph listed for this composition is 0.0 meV/atom. The density is 5.89 g cm⁻³. The value obtained for the density of states at the Fermi level is 1.134 states/eV per atom.

The structure in Quantum ESPRESSO input format:
```
&SYSTEM
  ibrav = 0, nat = 5, ntyp = 4
/
ATOMIC_SPECIES
Cu 63.55 Cu.upf
Ag 107.87 Ag.upf
Te 127.60 Te.upf
I 126.90 I.upf
CELL_PARAMETERS angstrom
5.495 0.000 0.000
0.000 5.495 0.000
0.000 0.000 5.161
ATOMIC_POSITIONS angstrom
Cu 0.000 0.000 0.000
Ag 2.748 2.748 2.580
Te 0.000 0.000 2.580
I 0.000 2.748 0.000
I 2.748 0.000 0.000
```

=====

Entry 5:
Entry from Alexandria: CuAgTe2I after structural relaxation (PBE-GGA). Values from VASP.

Summary:
The value obtained for the uncorrected energy is -12.43 eV per cell. The calculation puts the size of the total moment at 0.0 μB/f.u. As for the symmetry: P4/mmm (123). The calculation puts the formation energy (no corrections) at 0.4697 eV per atom. Its energy relative to the lowest polymorph listed for this composition is 0.0 meV/atom. The density is 6.18 g cm⁻³. The value obtained for the density of states at the Fermi level is 1.155 states/eV per atom.

The structure in Quantum ESPRESSO input format:
```
&SYSTEM
  ibrav = 0, nat = 5, ntyp = 4
/
ATOMIC_SPECIES
Cu 63.55 Cu.upf
Ag 107.87 Ag.upf
Te 127.60 Te.upf
I 126.90 I.upf
CELL_PARAMETERS angstrom
5.155 0.000 0.000
0.000 5.155 0.000
0.000 0.000 5.594
ATOMIC_POSITIONS angstrom
Cu 0.000 0.000 0.000
Ag 2.578 2.578 2.797
Te 0.000 2.578 0.000
Te 2.578 0.000 0.000
I 0.000 0.000 2.797
```

=====

Entry 6:
Entry from Alexandria: Cu2AgTeI8 after structural relaxation (PBE-GGA). Values from VASP.

Summary:
The value obtained for the uncorrected energy is -26.86 eV per cell. The calculation puts the size of the total moment at 0.0 μB/f.u. As for the symmetry: C2/m (12). The calculation puts the formation energy (no corrections) at -0.0230 eV per atom. The density is 5.01 g cm⁻³. The value obtained for the density of states at the Fermi level is 0.628 states/eV per atom.

The structure in Quantum ESPRESSO input format:
```
&SYSTEM
  ibrav = 0, nat = 12, ntyp = 4
/
ATOMIC_SPECIES
Cu 63.55 Cu.upf
Ag 107.87 Ag.upf
Te 127.60 Te.upf
I 126.90 I.upf
CELL_PARAMETERS angstrom
7.666 -4.134 0.000
7.666 4.134 0.000
-4.706 0.000 7.204
ATOMIC_POSITIONS angstrom
Cu 2.044 0.000 0.971
Cu 8.582 0.000 6.234
Ag -2.353 0.000 3.602
Te 7.666 0.000 0.000
I 2.297 2.149 5.277
I -1.256 0.000 6.083
I 8.328 2.149 1.928
I 4.453 0.000 2.419
I 6.173 0.000 4.785
I 2.297 -2.149 5.277
I 11.882 0.000 1.121
I 8.328 -2.149 1.928
```

=====

Entry 7:
Entry from Alexandria: CuAgTeI5 after structural relaxation (PBE-GGA). Values from VASP.

Summary:
The value obtained for the uncorrected energy is -36.82 eV per cell. The calculation puts the size of the total moment at 0.0 μB/f.u. As for the symmetry: C2/c (15). The calculation puts the formation energy (no corrections) at -0.0712 eV per atom. The density is 4.83 g cm⁻³. The value obtained for the density of states at the Fermi level is 0.711 states/eV per atom.

The structure in Quantum ESPRESSO input format:
```
&SYSTEM
  ibrav = 0, nat = 16, ntyp = 4
/
ATOMIC_SPECIES
Cu 63.55 Cu.upf
Ag 107.87 Ag.upf
Te 127.60 Te.upf
I 126.90 I.upf
CELL_PARAMETERS angstrom
4.554 -6.453 0.000
4.554 6.453 0.000
-3.388 0.000 10.914
ATOMIC_POSITIONS angstrom
Cu 2.013 5.401 8.185
Cu 3.707 -5.401 2.728
Ag 2.277 3.227 0.000
Ag 0.583 -3.227 5.457
Te 2.013 0.677 8.185
Te 3.707 -0.677 2.728
I -0.799 0.603 9.236
I 2.532 3.817 6.218
I 1.494 3.817 10.153
I 0.895 -0.603 3.779
I 3.707 2.089 2.728
I 2.013 -2.089 8.185
I 4.825 0.603 7.135
I 4.226 -3.817 0.761
I 3.188 -3.817 4.696
I 6.519 -0.603 1.678
```

=====

Entry 8:
Entry from Alexandria: CuAgTeI2 after structural relaxation (PBE-GGA). Values from VASP.

Summary:
The value obtained for the uncorrected energy is -9.78 eV per cell. The calculation puts the size of the total moment at 0.6 μB/f.u. As for the symmetry: P4/mmm (123). The calculation puts the formation energy (no corrections) at 0.6828 eV per atom. Its energy relative to the lowest polymorph listed for this composition is 296.3 meV/atom. The density is 5.16 g cm⁻³. The value obtained for the density of states at the Fermi level is 1.320 states/eV per atom.

The structure in Quantum ESPRESSO input format:
```
&SYSTEM
  ibrav = 0, nat = 5, ntyp = 4
/
ATOMIC_SPECIES
Cu 63.55 Cu.upf
Ag 107.87 Ag.upf
Te 127.60 Te.upf
I 126.90 I.upf
CELL_PARAMETERS angstrom
5.675 0.000 0.000
0.000 5.675 0.000
0.000 0.000 5.523
ATOMIC_POSITIONS angstrom
Cu 0.000 0.000 0.000
Ag 2.837 2.837 2.762
Te 2.837 2.837 0.000
I 0.000 2.837 2.762
I 2.837 0.000 2.762
```

=====

Entry 9:
Entry from Alexandria: TiCu2AgI after structural relaxation (PBE-GGA). Values from VASP.

Summary:
The value obtained for the uncorrected energy is -15.15 eV per cell. The calculation puts the size of the total moment at 1.3 μB/f.u. As for the symmetry: P4/mmm (123). The calculation puts the formation energy (no corrections) at 1.0685 eV per atom. The density is 5.48 g cm⁻³. The value obtained for the density of states at the Fermi level is 0.680 states/eV per atom.

The structure in Quantum ESPRESSO input format:
```
&SYSTEM
  ibrav = 0, nat = 5, ntyp = 4
/
ATOMIC_SPECIES
Ti 47.87 Ti.upf
Cu 63.55 Cu.upf
Ag 107.87 Ag.upf
I 126.90 I.upf
CELL_PARAMETERS angstrom
4.831 0.000 0.000
0.000 4.831 0.000
0.000 0.000 5.320
ATOMIC_POSITIONS angstrom
Ti 0.000 0.000 0.000
Cu 0.000 2.416 0.000
Cu 2.416 0.000 0.000
Ag 0.000 0.000 2.660
I 2.416 2.416 2.660
```

=====

Entry 10:
Entry from Alexandria: Tl3Cu2AgI6 after structural relaxation (PBE-GGA). Values from VASP.

Summary:
The value obtained for the uncorrected energy is -31.23 eV per cell. The calculation puts the size of the total moment at 0.0 μB/f.u. As for the symmetry: P-3m1 (164). The calculation puts the formation energy (no corrections) at -0.3153 eV per atom. The density is 4.75 g cm⁻³.

The structure in Quantum ESPRESSO input format:
```
&SYSTEM
  ibrav = 0, nat = 12, ntyp = 4
/
ATOMIC_SPECIES
Tl 204.38 Tl.upf
Cu 63.55 Cu.upf
Ag 107.87 Ag.upf
I 126.90 I.upf
CELL_PARAMETERS angstrom
8.513 0.000 0.000
-4.256 7.372 0.000
0.000 0.000 8.965
ATOMIC_POSITIONS angstrom
Tl 0.000 0.000 0.000
Tl 0.000 4.915 5.416
Tl 4.256 2.457 3.549
Cu 0.000 4.915 2.551
Cu 4.256 2.457 6.415
Ag 0.000 0.000 4.483
I 0.000 2.394 2.586
I -2.183 6.176 2.586
I 2.073 1.197 6.379
I 2.183 6.176 2.586
I 6.440 1.197 6.379
I 4.256 4.979 6.379
```

=====

Entry 11:
Entry from Alexandria: TlCuAgI3 after structural relaxation (PBE-GGA). Values from VASP.

Summary:
The value obtained for the uncorrected energy is -31.77 eV per cell. The calculation puts the size of the total moment at 0.0 μB/f.u. As for the symmetry: P2_1/m (11). The calculation puts the formation energy (no corrections) at -0.3199 eV per atom. The density is 6.05 g cm⁻³. The value obtained for the density of states at the Fermi level is 0.000 states/eV per atom.

The structure in Quantum ESPRESSO input format:
```
&SYSTEM
  ibrav = 0, nat = 12, ntyp = 4
/
ATOMIC_SPECIES
Tl 204.38 Tl.upf
Cu 63.55 Cu.upf
Ag 107.87 Ag.upf
I 126.90 I.upf
CELL_PARAMETERS angstrom
9.711 0.000 0.000
0.000 4.316 0.000
-2.147 0.000 9.904
ATOMIC_POSITIONS angstrom
Tl 1.323 1.079 2.084
Tl 6.241 3.237 7.820
Cu -0.599 1.079 5.617
Cu 8.163 3.237 4.287
Ag 1.467 3.237 8.793
Ag 6.096 1.079 1.111
I -0.622 1.079 8.344
I 0.938 3.237 5.087
I 4.039 3.237 1.779
I 3.525 1.079 8.125
I 6.626 1.079 4.817
I 8.185 3.237 1.560
```

=====

Entry 12:
Entry from Alexandria: TlCu2AgI6 after structural relaxation (PBE-GGA). Values from VASP.

Summary:
The value obtained for the uncorrected energy is -49.38 eV per cell. The calculation puts the size of the total moment at 0.0 μB/f.u. As for the symmetry: C2/c (15). The calculation puts the formation energy (no corrections) at -0.1981 eV per atom. The density is 5.08 g cm⁻³. The value obtained for the density of states at the Fermi level is 1.223 states/eV per atom.

The structure in Quantum ESPRESSO input format:
```
&SYSTEM
  ibrav = 0, nat = 20, ntyp = 4
/
ATOMIC_SPECIES
Tl 204.38 Tl.upf
Cu 63.55 Cu.upf
Ag 107.87 Ag.upf
I 126.90 I.upf
CELL_PARAMETERS angstrom
7.921 -6.930 0.000
7.921 6.930 0.000
-3.652 0.000 7.151
ATOMIC_POSITIONS angstrom
Tl 5.182 3.591 5.363
Tl 7.008 -3.591 1.788
Cu 1.790 1.033 5.570
Cu 3.616 -1.033 1.995
Cu 8.575 1.033 5.156
Cu 10.401 -1.033 1.581
Ag 7.008 4.427 1.788
Ag 5.182 -4.427 5.363
I -0.466 1.097 4.323
I 2.152 3.417 6.586
I 1.360 -1.097 0.748
I 3.701 0.795 3.838
I 8.213 3.417 4.141
I 5.527 -0.795 0.262
I 6.664 0.795 6.889
I 3.978 -3.417 3.010
I 8.490 -0.795 3.313
I 10.831 1.097 6.403
I 10.039 -3.417 0.565
I 12.656 -1.097 2.828
```